Computed, not measured: an optimized crystal structure of Pr8GaSn2 at the PBE level of DFT.

Values from the calculation:
Its space group is C2/m, No. 12.

Structure (POSCAR):
```
Pr8GaSn2
1.0
5.3031 0.0000 0.0000
0.0000 7.0145 0.1054
-2.6516 -2.8447 9.4577
Pr Sn Ga
8 2 1
Direct
0.6549 0.9940 0.3098 Pr
0.0115 0.7739 0.0230 Pr
0.7854 0.6842 0.5708 Pr
0.9885 0.2261 0.9770 Pr
0.4092 0.5290 0.8183 Pr
0.5908 0.4710 0.1817 Pr
0.3451 0.0060 0.6902 Pr
0.2146 0.3158 0.4292 Pr
0.1765 0.7455 0.3531 Sn
0.8235 0.2545 0.6469 Sn
0.5000 0.0000 0.0000 Ga
```

Computed, not measured: an optimized crystal structure of ZrPdPt6 at the PBE level of DFT.

Values from the calculation:
Its space group is P4/mmm, No. 123.

Structure (POSCAR):
```
ZrPdPt6
1.0
3.9884 0.0000 0.0000
0.0000 5.6801 -0.0362
0.0000 0.0360 5.6801
Pt Zr Pd
6 1 1
Direct
0.0000 0.7489 0.2511 Pt
0.5000 0.0000 0.5000 Pt
0.0000 0.2511 0.2511 Pt
0.0000 0.2511 0.7489 Pt
0.0000 0.7489 0.7489 Pt
0.5000 0.5000 0.0000 Pt
0.5000 0.0000 0.0000 Zr
0.5000 0.5000 0.5000 Pd
```

Computed, not measured: an optimized crystal structure of Tb6Tm2Al at the PBE level of DFT.

Values from the calculation:
Its space group is Pnnm, No. 58.

Structure (POSCAR):
```
Tb6Tm2Al
1.0
5.3098 0.0000 0.2587
0.0000 10.0567 0.0000
-0.4929 0.0000 10.0899
Tm Tb Al
4 12 2
Direct
0.0000 0.7115 0.2169 Tm
0.5000 0.2115 0.2831 Tm
0.0000 0.2885 0.7831 Tm
0.5000 0.7885 0.7169 Tm
0.4999 0.8148 0.0433 Tb
0.9999 0.6852 0.5434 Tb
0.5001 0.1852 0.9567 Tb
0.0001 0.3148 0.4566 Tb
0.4999 0.8752 0.3785 Tb
0.9999 0.0375 0.1855 Tb
0.0001 0.3752 0.1215 Tb
0.0001 0.9625 0.8145 Tb
0.5001 0.1248 0.6215 Tb
0.9999 0.6248 0.8785 Tb
0.5001 0.5375 0.3145 Tb
0.4999 0.4625 0.6855 Tb
0.5000 0.5000 0.0000 Al
0.0000 0.0000 0.5000 Al
```

Computed, not measured: an optimized crystal structure of Na2PaPt2O6 at the PBE level of DFT.

Values from the calculation:
Its space group is P-3, No. 147. For the formation energy from raw total energies, the calculation gives -1404 meV/atom.

Structure (POSCAR):
```
Na2PaPt2O6
1.0
-3.7160 -0.6121 4.5976
3.8273 -4.3488 -1.3269
4.3589 2.6534 3.8763
Na O Pt Pa
2 6 2 1
Direct
0.3333 0.6667 0.3225 Na
0.6667 0.3333 0.6775 Na
0.3147 0.2834 0.1995 O
0.2834 0.9688 0.8005 O
0.6853 0.7166 0.8005 O
0.0312 0.3147 0.8005 O
0.9688 0.6853 0.1995 O
0.7166 0.0312 0.1995 O
0.6667 0.3333 0.2022 Pt
0.3333 0.6667 0.7978 Pt
0.0000 0.0000 0.0000 Pa
```

Computed, not measured: an optimized crystal structure of LiTe2PbO at the PBE level of DFT.

Values from the calculation:
Its space group is P4/mmm, No. 123. For the formation energy from raw total energies, the calculation gives -76 meV/atom.

Structure (POSCAR):
```
LiTe2PbO
1.0
-0.7408 0.5572 6.0107
-3.9970 -0.8958 -0.4096
1.2526 -5.9098 0.7022
Pb Te Li O
1 2 1 1
Direct
0.0000 0.0000 0.0000 Pb
0.0000 0.0000 0.5000 Te
0.5000 0.0000 0.0000 Te
0.5000 0.5000 0.5000 Li
0.0000 0.5000 0.0000 O
```

The records above yield DOS(E_F) values of 1.10; 1.08; 1.48; 0.67; 0.62 states/eV per atom, respectively.
The records above yield VASP energy values of -4.857; -6.805; -4.513; -6.310; -3.449 eV/atom, respectively.